# FeRe2

Crystalline FeRe2 at its relaxed geometry (GGA-PBE, Alexandria via LeMat-Bulk).

abc: 4.2203 4.2203 2.6106
angles: 90.00 90.00 90.00
Last column: nearest neighbours and their distance in Å.
Space group P4/mmm (No. 123)
Symmetry-distinct sites (fractional):
Fe1 0.0000 0.0000 0.0000 x1  8 Re 2.48, 2 Fe 2.61
Re1 0.0000 0.5000 0.5000 x2  4 Fe 2.48, 2 Re 2.61

**E_form**: 0.896 eV per atom